# 1
DFT (PBE-GGA) results for crystalline Hf2MgAl at its relaxed geometry.

Its formation energy is 387 meV/atom. The value obtained for the calculated total energy is -5.92 eV/atom.

It has space group I-42d (No. 122), with a = 7.807 Å, b = 7.807 Å, c = 5.649 Å, α = 90.00°, β = 90.00° and γ = 90.00°. The inequivalent atoms are Hf at (0.239, 0.250, 0.125), Mg at (0.000, 0.000, 0.500) and Al at (0.000, 0.000, 0.000).

***

# 2
DFT (PBE-GGA) results for crystalline NbIrCI at its relaxed geometry.

As for the distance to the lowest polymorph of the same formula: 1.04 eV per formula unit. Its formation energy (no corrections) is 0.48 eV/atom. The value obtained for the calculated total energy is -6.95 eV/atom.

It has space group Amm2 (No. 38), with a = 3.388 Å, b = 3.162 Å, c = 13.312 Å, α = 90.00°, β = 90.00° and γ = 90.00°. The inequivalent atoms are Nb at (0.000, 0.000, 0.000), Ir at (0.500, 0.000, 0.153), C at (0.500, 0.000, 0.550) and I at (0.000, 0.000, 0.321).